[1]
The following is a GGA-PBE calculation of an optimized crystal structure of MgZrTl2, from Alexandria via LeMat-Bulk.

Cell: 10.1969 10.1969 10.1969 Å, 18.80 18.80 18.80°
Fractional positions:
Mg 0.7500 0.7500 0.7500
Zr 0.2500 0.2500 0.2500
Tl 0.4984 0.4984 0.4984
Tl 0.0016 0.0016 0.0016

calculated total energy: -3.710 eV/atom

=====

[2]
The following is a GGA-PBE calculation of an optimized crystal structure of Ba2NaGe2, from Alexandria via LeMat-Bulk.

Cell: 9.9324 9.9324 3.5144 Å, 90.00 90.00 90.00°
Fractional positions:
Na 0.5000 0.5000 0.0000
Na 0.0000 0.0000 0.0000
Ge 0.8342 0.3342 0.5000
Ge 0.3342 0.1658 0.5000
Ge 0.1658 0.6658 0.5000
Ge 0.6658 0.8342 0.5000
Ba 0.1329 0.3671 0.0000
Ba 0.6329 0.1329 0.0000
Ba 0.3671 0.8671 0.0000
Ba 0.8671 0.6329 0.0000

calculated total energy: -3.039 eV/atom
relative energy among the computed polymorphs: 277 meV/atom

=====

[3]
The following is a GGA-PBE calculation of an optimized crystal structure of CsRe2HgCl8, from Alexandria via LeMat-Bulk.

Cell: 7.0051 7.0051 12.6271 Å, 90.00 90.00 120.00°
Each line ends with the local moment (μB).
Fractional positions:
Cl 0.7183 0.0554 0.2410  0.02
Cl 0.6630 0.7183 0.7590  0.02
Cl 0.2817 0.9446 0.7590  0.02
Cl 0.9446 0.6630 0.2410  0.02
Cl 0.3370 0.2817 0.2410  0.02
Cl 0.6667 0.3333 0.0111  0.02
Cl 0.3333 0.6667 0.9889  0.02
Cl 0.0554 0.3370 0.7590  0.02
Re 0.3333 0.6667 0.8092  0.39
Re 0.6667 0.3333 0.1908  0.39
Hg 0.0000 0.0000 0.5000  0.00
Cs 0.0000 0.0000 0.0000  0.00

calculated total energy: -3.863 eV/atom
formation energy (no corrections): -0.46 eV/atom

=====

[4]
The following is a GGA-PBE calculation of an optimized crystal structure of Nd4Er3Tm4, from Alexandria via LeMat-Bulk.

Cell: 3.5063 5.6351 18.0587 Å, 81.03 84.43 89.99°
Fractional positions:
Tm 0.4544 0.4548 0.0903
Tm 0.3191 0.8197 0.3609
Tm 0.5456 0.5453 0.9096
Tm 0.6809 0.1804 0.6391
Nd 0.2684 0.2682 0.4636
Nd 0.4092 0.9095 0.1809
Nd 0.5908 0.0905 0.8191
Nd 0.7317 0.7318 0.5364
Er 0.8640 0.3645 0.2710
Er 0.0000 0.0000 0.0000
Er 0.1361 0.6356 0.7290

calculated total energy: -4.534 eV/atom
relative energy among the computed polymorphs: 49 meV/atom

=====

| no. | DOS at the Fermi energy (states/eV/cell) |
| --- | --- |
| 1 | 4.9 |
| 2 | 6.1 |
| 3 | 14.5 |
| 4 | 18.7 |